This record from Alexandria via LeMat-Bulk describes a relaxed MnNb2IBr crystal. The functional is PBE.

The space group is P4/mmm (No. 123) and the conventional cell measures 4.788, 4.788 and 4.992 Å, with angles of 90.00, 90.00 and 90.00 degrees. The distinct sites, in fractional coordinates, are Mn at (0.000, 0.000, 0.000), Nb at (0.000, 0.500, 0.000), I at (0.000, 0.000, 0.500) and Br at (0.500, 0.500, 0.500).

For the uncorrected formation energy, the calculation gives 1.02 eV/atom. For the density of states at the Fermi level, the calculation gives 1.28 states/eV per atom.